Entry 1:
# SnW (PBE, relaxed)
data_SnW
_chemical_formula_sum 'Sn1 W1'
_cell_length_a 3.1374
_cell_length_b 3.1374
_cell_length_c 4.4014
_cell_angle_alpha 90.00
_cell_angle_beta 90.00
_cell_angle_gamma 120.00
_space_group_name_H-M_alt 'P -6 m 2'
_space_group_IT_number 187
_space_group_name_Hall 'P -6 2'
loop_
_atom_site_label
_atom_site_fract_x
_atom_site_fract_y
_atom_site_fract_z
Sn1 0.0000 0.0000 0.0000
W1 0.6667 0.3333 0.5000
# Total magnetization = 0.001 μB per atom
# Energy above the most stable polymorph in this dataset = 0.000 eV per formula unit

=====

Entry 2:
# SnW (PBE, relaxed)
data_SnW
_chemical_formula_sum 'Sn4 W4'
_cell_length_a 5.5300
_cell_length_b 5.5300
_cell_length_c 5.5300
_cell_angle_alpha 90.00
_cell_angle_beta 90.00
_cell_angle_gamma 90.00
_space_group_name_H-M_alt 'F m -3 m'
_space_group_IT_number 225
_space_group_name_Hall '-F 4 2 3'
loop_
_atom_site_label
_atom_site_fract_x
_atom_site_fract_y
_atom_site_fract_z
Sn1 0.0000 0.0000 0.0000
W1 0.0000 0.0000 0.5000
# Total magnetization = 0.337 μB per atom
# Energy above the most stable polymorph in this dataset = 1.494 eV per formula unit